YTi3F | PBE-GGA | relaxed

Computed properties:
- energy relative to the lowest polymorph listed for this composition (kJ/mol of formula units) = 924
- density of states at the Fermi level (states/eV per atom) = 3.762
- E_tot (eV per atom) = -4.931

Unit cell a=5.013 b=5.013 c=5.013 alpha=90.00 beta=90.00 gamma=90.00
Space group Pm-3m (No. 221)
Inequivalent atoms, fractional coordinates:
Y  0.000  0.000  0.000 [1 per cell]
Ti  0.000  0.000  0.500 [3 per cell]
F  0.500  0.500  0.500 [1 per cell]

=====

TbSm3Ho4S8 | PBE-GGA | relaxed

Computed properties:
- density of states at the Fermi level (states/eV per atom) = 0.524
- E_tot (eV per atom) = -6.378

Unit cell a=7.8500 b=7.8500 c=19.4180 alpha=90.00 beta=90.00 gamma=120.00
Space group R-3m (No. 166, hexagonal axes)
Inequivalent atoms, fractional coordinates:
Tb  0.0000  0.0000  0.0000 [3 per cell]
Sm  0.0000  0.5000  0.0000 [9 per cell]
Ho  0.0000  0.0000  0.5000 [3 per cell]
Ho  0.0000  0.5000  0.5000 [9 per cell]
S  0.0000  0.0000  0.2457 [6 per cell]
S  0.0035  0.5017  0.7534 [18 per cell]

=====

Pm4SmDy3 | PBE-GGA | relaxed

Computed properties:
- energy relative to the lowest polymorph listed for this composition (kJ/mol of formula units) = 134
- density of states at the Fermi level (states/eV per atom) = 1.611
- DFT formation energy (eV per atom) = 0.201
- E_tot (eV per atom) = -4.490

Unit cell a=5.725 b=26.211 c=3.617 alpha=90.00 beta=90.00 gamma=90.00
Space group Cmmm (No. 65)
Inequivalent atoms, fractional coordinates:
Pm  0.000  0.104  0.000 [4 per cell]
Pm  0.000  0.224  0.000 [4 per cell]
Sm  0.000  0.000  0.500 [2 per cell]
Dy  0.000  0.348  0.500 [4 per cell]
Dy  0.000  0.500  0.000 [2 per cell]